{"formula": "LuMg", "functional": "GGA-PBE", "state": "optimized geometry", "crystal_system": "orthorhombic", "e_tot_ev_per_cell": -23.92, "lattice_angstrom": [[5.372, 0.000, 0.000], [0.000, 6.780, 0.000], [0.000, 0.000, 5.848]], "species": ["Lu", "Lu", "Lu", "Lu", "Mg", "Mg", "Mg", "Mg"], "frac_coords": [[0.000, 0.000, 0.000], [0.000, 0.249, 0.507], [0.000, 0.751, 0.507], [0.500, 0.000, 0.346], [0.000, 0.500, 0.013], [0.500, 0.252, 0.837], [0.500, 0.500, 0.332], [0.500, 0.748, 0.837]]}

=====

{"formula": "LuMg", "functional": "GGA-PBE", "state": "optimized geometry", "crystal_system": "orthorhombic", "e_tot_ev_per_cell": -30.62, "lattice_angstrom": [[4.995, 0.000, 0.000], [0.000, 10.436, 2.499], [0.000, -10.436, 2.499]], "species": ["Lu", "Lu", "Lu", "Lu", "Lu", "Mg", "Mg", "Mg", "Mg", "Mg"], "frac_coords": [[0.000, 0.000, 0.000], [0.000, 0.190, 0.802], [0.000, 0.802, 0.190], [0.500, 0.304, 0.690], [0.500, 0.690, 0.304], [0.000, 0.407, 0.590], [0.000, 0.590, 0.407], [0.500, 0.087, 0.903], [0.500, 0.497, 0.497], [0.500, 0.903, 0.087]]}